## w
## PrThCo4 (PBE)

Data for a relaxed structure of PrThCo4.

POSCAR file:
```
PrThCo4
1.0
3.953 0.000 0.000
0.000 4.108 0.000
0.000 0.000 6.807
Pr Th Co
1 1 4
Direct
0.000 0.000 0.000
0.500 0.000 0.500
0.000 0.500 0.336
0.000 0.500 0.664
0.500 0.500 0.171
0.500 0.500 0.829
```

## x
## PrThCo4 (PBE)

Data for a relaxed structure of PrThCo4.

POSCAR file:
```
PrThCo4
1.0
0.000 3.626 3.626
3.626 0.000 3.626
3.626 3.626 0.000
Pr Th Co
1 1 4
Direct
0.000 0.000 0.000
0.750 0.750 0.750
0.375 0.375 0.375
0.375 0.375 0.874
0.375 0.874 0.375
0.874 0.375 0.375
```

Most stable: w

## w
## PrTh2Co6 (PBE)

Data for a relaxed structure of PrTh2Co6.

POSCAR file:
```
PrTh2Co6
1.0
6.848 0.000 0.000
-3.424 5.930 0.000
0.000 0.000 4.047
Pr Th Co
1 2 6
Direct
0.000 0.000 0.000
0.333 0.667 0.000
0.667 0.333 0.000
0.000 0.336 0.500
0.000 0.664 0.500
0.336 0.000 0.500
0.336 0.336 0.500
0.664 0.000 0.500
0.664 0.664 0.500
```

## x
## PrTh2Co6 (PBE)

Data for a relaxed structure of PrTh2Co6.

POSCAR file:
```
PrTh2Co6
1.0
-1.974 4.079 5.463
1.974 -4.079 5.463
1.974 4.079 -5.463
Pr Th Co
1 2 6
Direct
0.000 0.000 0.000
0.336 0.836 0.500
0.664 0.164 0.500
0.056 0.311 0.744
0.347 0.500 0.847
0.433 0.689 0.744
0.567 0.311 0.256
0.653 0.500 0.153
0.944 0.689 0.256
```

Most stable: w

## w
## Pr5Tl2Co (PBE)

Data for a relaxed structure of Pr5Tl2Co.

POSCAR file:
```
Pr5Tl2Co
1.0
8.275 0.000 0.000
0.000 12.291 0.000
0.000 0.000 4.808
Pr Tl Co
10 4 2
Direct
0.000 0.000 0.000
0.131 0.303 0.000
0.181 0.568 0.500
0.319 0.068 0.500
0.369 0.803 0.000
0.500 0.500 0.000
0.631 0.197 0.000
0.681 0.932 0.500
0.819 0.432 0.500
0.869 0.697 0.000
0.078 0.831 0.500
0.422 0.331 0.500
0.578 0.669 0.500
0.922 0.169 0.500
0.000 0.500 0.000
0.500 0.000 0.000
```

## x
## Pr5Tl2Co (PBE)

Data for a relaxed structure of Pr5Tl2Co.

POSCAR file:
```
Pr5Tl2Co
1.0
2.774 -8.604 0.000
2.774 8.604 0.000
0.000 0.000 12.639
Pr Tl Co
10 4 2
Direct
0.068 0.932 0.603
0.068 0.932 0.897
0.290 0.710 0.583
0.290 0.710 0.917
0.301 0.699 0.250
0.699 0.301 0.750
0.710 0.290 0.083
0.710 0.290 0.417
0.932 0.068 0.103
0.932 0.068 0.397
0.121 0.879 0.134
0.121 0.879 0.366
0.879 0.121 0.634
0.879 0.121 0.866
0.180 0.820 0.750
0.820 0.180 0.250
```

Most stable: w

## w
## Pr8Tl2Co (PBE)

Data for a relaxed structure of Pr8Tl2Co.

POSCAR file:
```
Pr8Tl2Co
1.0
8.979 -2.870 0.000
8.979 2.870 0.000
-2.628 0.000 6.566
Pr Tl Co
8 2 1
Direct
0.003 0.003 0.266
0.203 0.203 0.743
0.364 0.364 0.593
0.400 0.400 0.104
0.600 0.600 0.896
0.636 0.636 0.407
0.797 0.797 0.257
0.997 0.997 0.734
0.181 0.181 0.193
0.819 0.819 0.807
0.500 0.500 0.500
```

## x
## Pr8Tl2Co (PBE)

Data for a relaxed structure of Pr8Tl2Co.

POSCAR file:
```
Pr8Tl2Co
1.0
4.517 -8.302 0.000
4.517 8.302 0.000
-3.626 0.000 4.590
Pr Tl Co
8 2 1
Direct
0.000 0.000 0.000
0.213 0.437 0.770
0.396 0.802 0.580
0.437 0.213 0.770
0.513 0.513 0.380
0.714 0.941 0.315
0.802 0.396 0.580
0.941 0.714 0.315
0.299 0.903 0.075
0.903 0.299 0.075
0.601 0.601 0.914
```

Most stable: x